MgFeRh2 PBE relaxed; E = -6.280 eV per atom; E_form = -0.36 eV per formula unit; total magnetization = 3.714 μB per formula unit; volume = 58 Å³ per cell
1.0
2.7682 0.0000 0.0000
0.0000 3.9682 0.0000
0.0000 0.0000 5.2592
Fe Rh Mg
1 2 1
Direct
0.0000 0.0000 0.4795
0.5000 0.5000 0.2698
0.0000 0.0000 0.9880
0.5000 0.5000 0.7627